# 1
Computed, not measured: crystalline SrMn4Au at its relaxed geometry at the GGA-PBE level of DFT.

```
6
Lattice="0.0000 3.8274 3.8274 3.8274 0.0000 3.8274 3.8274 3.8274 0.0000" Properties=species:S:1:pos:R:3 pbc="T T T"
Sr 5.7411 5.7411 5.7411
Mn 2.8624 4.7924 4.7924
Mn 4.7924 4.7924 2.8624
Mn 4.7924 2.8624 4.7924
Mn 2.8624 2.8624 2.8624
Au 0.0000 0.0000 0.0000
```

* DFT formation energy: 0.4477 eV/atom
* symmetry: No. 216
* VASP energy: -6.49 eV per atom
* D(E_F): 5.88 states/eV/f.u.


# 2
Computed, not measured: crystalline ZnSeS2N at its relaxed geometry at the GGA-PBE level of DFT.

```
5
Lattice="4.8456 0.0000 0.0000 0.0000 4.8456 0.0000 0.0000 0.0000 3.7709" Properties=species:S:1:pos:R:3 pbc="T T T"
Zn 0.0000 0.0000 0.0000
S 0.0000 2.4228 0.0000
S 2.4228 0.0000 0.0000
Se 2.4228 2.4228 1.8854
N 0.0000 0.0000 1.8854
```

* excess energy over the best structure of this formula in the dataset: 0.0730 eV/atom
* symmetry: No. 123
* uncorrected formation energy: 107.1 kJ/mol of atoms
* VASP energy: -3.16 eV per atom
* D(E_F): 3.07 states/eV/f.u.


# 3
Computed, not measured: crystalline ZnSiSb2Te at its relaxed geometry at the GGA-PBE level of DFT.

```
5
Lattice="5.2461 0.0000 0.0000 0.0000 5.2901 0.0000 0.0000 0.0000 5.2461" Properties=species:S:1:pos:R:3 pbc="T T T"
Sb 0.0000 0.0000 2.6231
Sb 2.6231 0.0000 0.0000
Zn 2.6231 2.6451 2.6231
Te 0.0000 2.6451 0.0000
Si 0.0000 0.0000 0.0000
```

* excess energy over the best structure of this formula in the dataset: 0.0000 eV/atom
* symmetry: No. 123
* uncorrected formation energy: 60.7 kJ/mol of atoms
* VASP energy: -2.99 eV per atom
* D(E_F): 4.05 states/eV/f.u.


# 4
Computed, not measured: crystalline BaSbPt2 at its relaxed geometry at the GGA-PBE level of DFT.

```
4
Lattice="3.6874 0.0000 0.0000 0.0000 3.6874 0.0000 0.0000 0.0000 7.2315" Properties=species:S:1:pos:R:3 pbc="T T T"
Ba 1.8437 1.8437 5.7004
Pt 0.0000 0.0000 0.3513
Pt 1.8437 1.8437 1.8556
Sb 0.0000 0.0000 2.9399
```

* symmetry: No. 99
* uncorrected formation energy: -36.7 kJ/mol of atoms
* VASP energy: -4.91 eV per atom
* D(E_F): 2.52 states/eV/f.u.